First-principles (GGA-PBE) data for Nd7Dy12Pb after structural relaxation, as listed in Alexandria via LeMat-Bulk.

Values from the calculation:
The energy of formation from the pure elements is 3.2 eV per formula unit.

extended XYZ file:
```
20
Lattice="1.389 -5.668 6.574 8.276 -1.289 -2.670 2.839 6.499 5.194" Properties=species:S:1:pos:R:3 pbc="T T T"
Nd 4.668 2.677 5.928
Nd 6.252 -0.229 4.549
Nd 4.856 -3.429 5.363
Nd 4.618 -0.572 7.721
Nd 7.648 2.971 3.735
Nd 7.886 0.115 1.377
Nd 7.836 -3.134 3.170
Pb 0.000 0.000 0.000
Dy 4.650 -1.741 1.648
Dy 4.314 1.873 2.292
Dy 4.686 2.562 9.213
Dy 7.854 1.284 7.450
Dy 7.818 -3.019 -0.115
Dy 7.185 -5.748 5.360
Dy 10.266 2.376 1.534
Dy 2.238 -2.834 7.564
Dy 9.880 0.099 4.606
Dy 5.319 5.291 3.738
Dy 8.190 -2.331 6.806
Dy 2.625 -0.556 4.492
```